1) The following is a PBE-GGA calculation of a geometry-optimized PaOs2 structure, from Alexandria.

```
PaOs2
1.0
-4.366 0.005 -3.120
-3.213 -4.296 -0.125
-4.881 0.234 2.217
Pa Os
2 4
Cartesian
0.000 0.000 0.000 Pa
-3.115 -1.014 -0.257 Pa
-5.604 -2.538 0.917 Os
-6.181 -0.388 -0.580 Os
-7.788 -2.536 -0.642 Os
-5.347 -2.653 -1.751 Os
```

Output
M_tot   0.00 μB per formula unit
D(E_F)   1.8676 states/eV/atom

2) The following is a PBE-GGA calculation of a geometry-optimized PaOs2 structure, from Alexandria.

```
PaOs2
1.0
2.882 0.000 0.000
0.000 2.882 0.000
-1.441 -1.441 6.445
Pa Os
1 2
Cartesian
0.000 0.000 0.000 Pa
1.441 1.441 2.403 Os
0.000 0.000 4.042 Os
```

Output
M_tot   0.00 μB per formula unit
D(E_F)   1.3464 states/eV/atom

Most stable: 1) (next structure +340 meV/atom)

1) The following is a PBE-GGA calculation of a geometry-optimized Pa4Os structure, from Alexandria.

```
Pa4Os
1.0
-5.710 -0.857 3.145
3.264 -2.929 5.128
-1.048 6.260 -0.197
Pa Os
8 2
Cartesian
-0.013 2.962 2.960 Pa
0.421 0.098 2.967 Pa
-2.691 4.269 0.973 Pa
-4.841 3.208 3.653 Pa
-3.139 0.303 3.431 Pa
-2.554 -1.319 6.572 Pa
-2.162 1.901 5.641 Pa
1.006 -1.523 6.107 Pa
0.000 0.000 0.000 Os
-1.223 -1.893 4.136 Os
```

Output
M_tot   0.00 μB per formula unit
D(E_F)   2.1057 states/eV/atom

2) The following is a PBE-GGA calculation of a geometry-optimized Pa4Os structure, from Alexandria.

```
Pa4Os
1.0
5.282 0.000 0.000
0.000 5.282 0.000
0.000 0.000 5.282
Pa Os
4 1
Cartesian
0.000 0.000 0.000 Pa
2.641 0.000 2.641 Pa
0.000 2.641 2.641 Pa
2.641 2.641 0.000 Pa
2.641 2.641 2.641 Os
```

Output
M_tot   0.25 μB per formula unit
D(E_F)   2.3727 states/eV/atom

Most stable: 1) (next structure +490 meV/atom)

1) The following is a PBE-GGA calculation of a geometry-optimized Pa3Os structure, from Alexandria.

```
Pa3Os
1.0
-2.532 -2.152 3.715
-0.226 -4.970 0.312
2.446 -2.383 3.630
Pa Os
3 1
Cartesian
0.000 0.000 0.000 Pa
-0.233 -7.128 5.743 Pa
-0.078 -2.376 1.914 Pa
-0.156 -4.752 3.829 Os
```

Output
M_tot   0.00 μB per formula unit
D(E_F)   2.9484 states/eV/atom

2) The following is a PBE-GGA calculation of a geometry-optimized Pa3Os structure, from Alexandria.

```
Pa3Os
1.0
4.029 0.000 0.000
0.000 4.029 0.000
0.000 0.000 5.414
Pa Os
3 1
Cartesian
2.014 0.336 0.000 Pa
2.014 2.350 2.707 Pa
0.000 0.335 2.707 Pa
0.000 2.351 0.000 Os
```

Output
M_tot   0.00 μB per formula unit
D(E_F)   1.4891 states/eV/atom

3) The following is a PBE-GGA calculation of a geometry-optimized Pa3Os structure, from Alexandria.

```
Pa3Os
1.0
3.506 0.000 0.000
0.000 6.369 -0.094
0.000 -1.279 8.420
Pa Os
6 2
Cartesian
2.629 0.830 3.744 Pa
2.629 -0.707 7.037 Pa
2.629 2.828 7.372 Pa
0.876 4.260 4.582 Pa
0.876 5.797 1.290 Pa
0.876 2.262 0.955 Pa
0.876 1.272 5.863 Os
2.629 3.818 2.464 Os
```

Output
M_tot   0.00 μB per formula unit
D(E_F)   1.7350 states/eV/atom

Most stable: 3) (next structure +113 meV/atom)

1) The following is a PBE-GGA calculation of a geometry-optimized Pa3Os structure, from Alexandria.

```
Pa3Os
1.0
-2.753 -1.610 -0.776
2.926 -3.643 -2.823
0.386 -0.138 5.856
Pa Os
3 1
Cartesian
1.467 -2.965 0.946 Pa
-0.157 -2.323 -1.565 Pa
-1.395 -1.819 1.780 Pa
2.682 -3.338 -2.588 Os
```

Output
M_tot   0.00 μB per formula unit
D(E_F)   1.3307 states/eV/atom

2) The following is a PBE-GGA calculation of a geometry-optimized Pa3Os structure, from Alexandria.

```
Pa3Os
1.0
-3.074 0.250 2.288
1.495 -2.685 2.302
3.915 6.099 1.370
Pa Os
3 1
Cartesian
-0.789 -1.218 2.295 Pa
1.268 1.980 1.487 Pa
1.068 1.684 4.473 Pa
0.000 0.000 0.000 Os
```

Output
M_tot   0.00 μB per formula unit
D(E_F)   1.8139 states/eV/atom

Most stable: 1) (next structure +294 meV/atom)